The following is a DFT calculation (PBE) of a relaxed structure of AlS2N.

Cell: 7.5258 7.5258 7.5258 Å, 24.05 24.05 24.05°
Closest atoms and distances in Å follow each position.
Element x y z (fractional)
Al: 0.0000 0.0000 0.0000  2 S 2.37
N: 0.5000 0.5000 0.5000  6 S 2.22
S: 0.8918 0.8918 0.8918  3 N 2.22, 1 Al 2.37
S: 0.1082 0.1082 0.1082  3 N 2.22, 1 Al 2.37

D(E_F), states/eV/cell: 0.89
E_form (uncorrected), eV/atom: 1.15
Space group: R-3m, No. 166

The following is a DFT calculation (PBE) of a relaxed structure of AlS2N.

Cell: 4.2397 4.2397 4.2397 Å, 60.00 60.00 60.00°
Closest atoms and distances in Å follow each position.
Element x y z (fractional)
S: 0.7500 0.7500 0.7500  4 Al 2.60, 4 N 2.60
Al: 0.5000 0.5000 0.5000  8 S 2.60
N: 0.0000 0.0000 0.0000  8 S 2.60
S: 0.2500 0.2500 0.2500  4 Al 2.60, 4 N 2.60

D(E_F), states/eV/cell: 2.66
E_form (uncorrected), eV/atom: 1.18
Space group: Fm-3m, No. 225

The following is a DFT calculation (PBE) of a relaxed structure of Al2SN.

Cell: 4.9135 4.9135 5.9577 Å, 65.65 65.65 90.00°
Closest atoms and distances in Å follow each position.
Element x y z (fractional)
S: 0.7500 0.2500 0.5000  4 Al 2.36
Al: 0.5458 0.1250 0.2500  2 N 1.92
Al: 0.2042 0.6250 0.2500  2 N 1.92
N: 0.2500 0.7500 0.5000  4 Al 1.92
S: 0.0000 0.0000 0.0000  4 Al 2.36
Al: 0.8750 0.7958 0.7500  2 N 1.92
N: 0.5000 0.5000 0.0000  4 Al 1.92
Al: 0.3750 0.4542 0.7500  2 N 1.92

D(E_F), states/eV/cell: 3.44
E_form (uncorrected), eV/atom: -0.76
Space group: I-42d, No. 122

The following is a DFT calculation (PBE) of a relaxed structure of Al2SN.

Cell: 4.1089 4.1089 4.1089 Å, 60.00 60.00 60.00°
Closest atoms and distances in Å follow each position.
Element x y z (fractional)
Al: 0.7500 0.7500 0.7500  4 N 2.52, 4 S 2.52
Al: 0.2500 0.2500 0.2500  4 S 2.52, 4 N 2.52
S: 0.5000 0.5000 0.5000  8 Al 2.52
N: 0.0000 0.0000 0.0000  8 Al 2.52

D(E_F), states/eV/cell: 1.38
E_form (uncorrected), eV/atom: 0.38
Space group: Fm-3m, No. 225